The following is a GGA-PBE calculation of an optimized crystal structure of ZrCrSb3, from the Alexandria database.

a b c (Å): 5.5218 5.5218 5.5218
angles (deg): 90.00 90.00 90.00
With the nearest neighbours (Å) after each atom.
Sites, in units of the cell vectors:
Zr 0.0000 0.0000 0.0000  6 Sb 2.76
Cr 0.5000 0.5000 0.5000  12 Sb 3.90
Sb 0.0000 0.0000 0.5000  2 Zr 2.76
Sb 0.0000 0.5000 0.0000  2 Zr 2.76
Sb 0.5000 0.0000 0.0000  2 Zr 2.76

Energy relative to the elements, uncorrected: 639 meV per atom
Offset from the most stable computed form: 0.092 eV per atom



The following is a GGA-PBE calculation of an optimized crystal structure of Dy5Ir2Pd2, from the Alexandria database.

a b c (Å): 8.2469 8.2469 7.5616
angles (deg): 90.00 90.00 54.29
With the nearest neighbours (Å) after each atom.
Sites, in units of the cell vectors:
Dy 0.0000 0.0000 0.0000  4 Ir 2.94-2.96, 2 Pd 3.02
Dy 0.0390 0.6964 0.6675  3 Ir 2.87-3.01, 3 Pd 2.98-3.02
Dy 0.1964 0.5390 0.1675  3 Ir 2.87-3.01, 3 Pd 2.98-3.02
Dy 0.3036 0.9610 0.6675  3 Ir 2.87-3.01, 3 Pd 2.98-3.02
Dy 0.4610 0.8036 0.1675  3 Ir 2.87-3.01, 3 Pd 2.98-3.02
Dy 0.5000 0.5000 0.5000  4 Ir 2.94-2.96, 2 Pd 3.02
Dy 0.5390 0.1964 0.8325  3 Ir 2.87-3.01, 3 Pd 2.98-3.02
Dy 0.6964 0.0390 0.3325  3 Ir 2.87-3.01, 3 Pd 2.98-3.02
Dy 0.8036 0.4610 0.8325  3 Ir 2.87-3.01, 3 Pd 2.98-3.02
Dy 0.9610 0.3036 0.3325  3 Ir 2.87-3.01, 3 Pd 2.98-3.02
Ir 0.1327 0.8673 0.3682  1 Ir 2.82, 8 Dy 2.87-3.01
Ir 0.3673 0.6327 0.8682  1 Ir 2.82, 8 Dy 2.87-3.01
Ir 0.6327 0.3673 0.1318  1 Ir 2.82, 8 Dy 2.87-3.01
Ir 0.8673 0.1327 0.6318  1 Ir 2.82, 8 Dy 2.87-3.01
Pd 0.2058 0.2058 0.0000  7 Dy 2.98-3.02
Pd 0.2942 0.2942 0.5000  7 Dy 2.98-3.02
Pd 0.7058 0.7058 0.5000  7 Dy 2.98-3.02
Pd 0.7942 0.7942 0.0000  7 Dy 2.98-3.02

E_form: -0.82 eV per atom



The following is a GGA-PBE calculation of an optimized crystal structure of PaGe2Rh, from the Alexandria database.

a b c (Å): 9.8879 9.8879 9.8879
angles (deg): 17.69 17.69 17.69
With the nearest neighbours (Å) after each atom.
Sites, in units of the cell vectors:
Pa 0.0000 0.0000 0.0000  2 Ge 2.97, 6 Pa 3.04
Ge 0.1016 0.1016 0.1016  3 Rh 2.59
Ge 0.8984 0.8984 0.8984  3 Rh 2.59
Rh 0.5000 0.5000 0.5000  6 Ge 2.59

E_form: -0.06 eV per atom



The following is a GGA-PBE calculation of an optimized crystal structure of CsMgTcSe, from the Alexandria database.

a b c (Å): 3.5484 4.3962 7.8484
angles (deg): 73.90 89.79 90.00
With the nearest neighbours (Å) after each atom.
Sites, in units of the cell vectors:
Cs 0.0000 0.0000 0.0000  2 Cs 3.55, 4 Se 3.55, 1 Tc 3.70
Mg 0.4953 0.7289 0.5511  4 Tc 2.84, 2 Se 2.97-2.98
Tc 0.9959 0.2494 0.5100  2 Se 2.46
Se 0.4977 0.3589 0.2849  2 Tc 2.46

Energy relative to the elements, uncorrected: 65 meV per atom
Offset from the most stable computed form: 0.019 eV per atom



The following is a GGA-PBE calculation of an optimized crystal structure of Rb5Zn4P4, from the Alexandria database.

a b c (Å): 9.6430 9.6430 9.6430
angles (deg): 92.70 92.70 154.91
With the nearest neighbours (Å) after each atom.
Sites, in units of the cell vectors:
Rb 0.0000 0.0000 0.0000  10 Rb 3.90-4.19, 4 P 4.15
Rb 0.2933 0.6357 0.9290  3 P 3.42-3.46, 3 Zn 3.57-3.79
Rb 0.3643 0.2933 0.6577  3 P 3.42-3.46, 3 Zn 3.57-3.79
Rb 0.6357 0.7067 0.3423  3 P 3.42-3.46, 3 Zn 3.57-3.79
Rb 0.7067 0.3643 0.0710  3 P 3.42-3.46, 3 Zn 3.57-3.79
Zn 0.1049 0.4218 0.5268  3 P 2.44
Zn 0.4218 0.8951 0.3169  3 P 2.44
Zn 0.5782 0.1049 0.6831  3 P 2.44
Zn 0.8951 0.5782 0.4732  3 P 2.44
P 0.0395 0.6908 0.7303  3 Zn 2.44
P 0.3092 0.0395 0.3487  3 Zn 2.44
P 0.6908 0.9605 0.6513  3 Zn 2.44
P 0.9605 0.3092 0.2697  3 Zn 2.44

E_form: -0.27 eV per atom



The following is a GGA-PBE calculation of an optimized crystal structure of TcAg2PPb, from the Alexandria database.

a b c (Å): 4.6082 4.6082 5.9042
angles (deg): 90.00 90.00 90.00
With the nearest neighbours (Å) after each atom.
Sites, in units of the cell vectors:
Tc 0.0000 0.0000 0.0000  4 Pb 3.26
Ag 0.0000 0.5000 0.5000  2 P 2.30
Ag 0.5000 0.0000 0.5000  2 P 2.30
P 0.5000 0.5000 0.5000  4 Ag 2.30
Pb 0.5000 0.5000 0.0000  2 P 2.95, 4 Tc 3.26

E_form: 0.98 eV per atom



The following is a GGA-PBE calculation of an optimized crystal structure of Sc2CrTc, from the Alexandria database.

a b c (Å): 3.3579 4.3166 4.7662
angles (deg): 90.00 90.00 90.00
With the nearest neighbours (Å) after each atom.
Sites, in units of the cell vectors:
Sc 0.0000 0.0000 0.0000  4 Tc 2.73, 4 Sc 2.92
Sc 0.5000 0.0000 0.5000  4 Cr 2.73, 4 Sc 2.92
Cr 0.0000 0.5000 0.5000  4 Sc 2.73, 4 Tc 2.92
Tc 0.5000 0.5000 0.0000  4 Sc 2.73, 4 Cr 2.92

E_form: 0.20 eV per atom
Offset from the most stable computed form: 0.239 eV per atom



The following is a GGA-PBE calculation of an optimized crystal structure of Dy2ErAu, from the Alexandria database.

a b c (Å): 3.6088 3.6088 8.4310
angles (deg): 90.00 90.00 90.00
With the nearest neighbours (Å) after each atom.
Sites, in units of the cell vectors:
Dy 0.0000 0.0000 0.2093  4 Au 3.10
Dy 0.0000 0.0000 0.7907  4 Au 3.10
Er 0.5000 0.5000 0.5000  8 Dy 3.54, 4 Er 3.61
Au 0.5000 0.5000 0.0000  8 Dy 3.10

E_form: -0.39 eV per atom
Offset from the most stable computed form: 0.061 eV per atom